Entry w
Here is crystalline FeS2NF at its relaxed geometry from Alexandria. Energies are from PBE with a Hubbard U.

The structure in extended XYZ format:
```
5
Lattice="4.778 0.000 0.000 0.000 4.778 0.000 0.000 0.000 3.592" Properties=species:S:1:pos:R:3 pbc="T T T"
Fe 0.000 0.000 0.000
S 0.000 2.389 0.000
S 2.389 0.000 0.000
N 0.000 0.000 1.796
F 2.389 2.389 1.796
```

Properties
The magnetic moment comes out at 0.013 μB per cell. The density of states at the Fermi level comes out at 2.16 states/eV/cell. The space group is P4/mmm, No. 123.



Entry x
Here is crystalline FeS2NF at its relaxed geometry from Alexandria. Energies are from PBE with a Hubbard U.

The structure in extended XYZ format:
```
5
Lattice="4.422 0.000 0.000 0.000 4.422 0.000 0.000 0.000 3.729" Properties=species:S:1:pos:R:3 pbc="T T T"
Fe 0.000 0.000 0.000
S 0.000 2.211 1.865
S 2.211 0.000 1.865
N 2.211 2.211 0.000
F 2.211 2.211 1.865
```

Properties
The magnetic moment comes out at 0.401 μB per cell. The density of states at the Fermi level comes out at 4.38 states/eV/cell. The space group is P4/mmm, No. 123.



If we sort the structures by their calculated energies, the order from most to least stable is entry w, entry x.



Entry w
Here is crystalline FeSbN2F at its relaxed geometry from Alexandria. Energies are from PBE with a Hubbard U.

The structure in extended XYZ format:
```
5
Lattice="3.980 0.000 0.000 0.000 3.980 0.000 0.000 0.000 3.889" Properties=species:S:1:pos:R:3 pbc="T T T"
Fe 0.000 0.000 0.000
Sb 1.990 1.990 1.944
N 0.000 1.990 0.000
N 1.990 0.000 0.000
F 0.000 0.000 1.944
```

Properties
The magnetic moment comes out at 4.383 μB per cell. The density of states at the Fermi level comes out at 1.10 states/eV/cell. The space group is P4/mmm, No. 123.



Entry x
Here is crystalline FeSbN2F at its relaxed geometry from Alexandria. Energies are from PBE with a Hubbard U.

The structure in extended XYZ format:
```
5
Lattice="4.081 0.000 0.000 0.000 4.081 0.000 0.000 0.000 4.109" Properties=species:S:1:pos:R:3 pbc="T T T"
Fe 0.000 0.000 0.000
Sb 2.040 2.040 2.055
N 0.000 2.040 2.055
N 2.040 0.000 2.055
F 2.040 2.040 0.000
```

Properties
The magnetic moment comes out at 3.852 μB per cell. The density of states at the Fermi level comes out at 1.08 states/eV/cell. The space group is P4/mmm, No. 123.



If we sort the structures by their calculated energies, the order from most to least stable is entry w, entry x.